No. 1
## AsIrO6 (PBE)

Data for AsIrO6 after structural relaxation.

**Uncorrected energy**: -4.87 eV/atom

Unit cell a=6.9825 b=6.9825 c=6.9825 alpha=90.00 beta=90.00 gamma=90.00
With the nearest neighbours (Å) after each atom.
Space group F-43m (No. 216)
Asymmetric unit:
As 0.0000 0.0000 0.0000 x4  6 O 1.79
Ir 0.2500 0.2500 0.2500 x4  12 O 2.47
O 0.0000 0.0000 0.2567 x24  1 As 1.79


No. 2
## PrTmAsO (PBE)

Data for PrTmAsO after structural relaxation.

**Offset from the most stable computed form**: 0.065 eV per atom

Unit cell a=4.4005 b=4.4005 c=9.0468 alpha=90.00 beta=90.00 gamma=90.00
With the nearest neighbours (Å) after each atom.
Space group P4/nmm (No. 129, origin choice 2)
Asymmetric unit:
Pr 0.2500 0.2500 0.1132 x2  4 O 2.43
Tm 0.2500 0.7500 0.5000 x2  4 As 2.80, 4 Tm 3.11
As 0.2500 0.2500 0.6918 x2  4 Tm 2.80
O 0.2500 0.7500 0.0000 x2  4 Pr 2.43


No. 3
## CdAg15 (PBE)

Data for CdAg15 after structural relaxation.

**ΔH_f (0 K)**: 0.0548 eV/atom
**Offset from the most stable computed form**: 0.025 eV per atom

Unit cell a=5.0704 b=37.2846 c=5.0709 alpha=90.00 beta=109.22 gamma=90.00
With the nearest neighbours (Å) after each atom.
Space group P2/c (No. 13)
Asymmetric unit:
Cd 0.0000 0.2033 0.2500 x2  7 Ag 2.93-3.02
Ag 0.0000 0.2426 0.7500 x2  9 Ag 2.89-2.98, 2 Cd 2.93
Ag 0.0000 0.2843 0.2500 x2  11 Ag 2.90-2.98, 1 Cd 3.02
Ag 0.0000 0.3224 0.7500 x2  12 Ag 2.91-2.98
Ag 0.0000 0.3624 0.2500 x2  12 Ag 2.91-2.94
Ag 0.0000 0.4013 0.7500 x2  12 Ag 2.92-2.94
Ag 0.0000 0.4409 0.2500 x2  12 Ag 2.93-2.94
Ag 0.0000 0.4802 0.7500 x2  12 Ag 2.93-2.94
Ag 0.5000 0.2052 0.7500 x2  5 Ag 2.89-2.91, 2 Cd 2.94
Ag 0.5000 0.2426 0.2500 x2  9 Ag 2.89-2.97, 2 Cd 2.93
Ag 0.5000 0.2834 0.7500 x2  12 Ag 2.91-2.96
Ag 0.5000 0.3223 0.2500 x2  12 Ag 2.90-2.97
Ag 0.5000 0.3622 0.7500 x2  12 Ag 2.92-2.94
Ag 0.5000 0.4012 0.2500 x2  12 Ag 2.92-2.94
Ag 0.5000 0.4410 0.7500 x2  12 Ag 2.92-2.94
Ag 0.5000 0.4801 0.2500 x2  12 Ag 2.92-2.94


No. 4
## SrMgCuGe2 (PBE)

Data for SrMgCuGe2 after structural relaxation.

**Uncorrected energy**: -3.64 eV/atom

Unit cell a=4.3418 b=4.3418 c=11.1045 alpha=90.00 beta=90.00 gamma=90.00
With the nearest neighbours (Å) after each atom.
Space group I-4m2 (No. 119)
Asymmetric unit:
Sr 0.0000 0.0000 0.0000 x2  8 Ge 3.32, 4 Mg 3.52, 4 Cu 3.52
Mg 0.0000 0.5000 0.7500 x2  4 Ge 2.64
Cu 0.0000 0.5000 0.2500 x2  4 Ge 2.64
Ge 0.0000 0.0000 0.3852 x4  1 Ge 2.55, 2 Mg 2.64, 2 Cu 2.64


No. 5
## PrSiAg (PBE)

Data for PrSiAg after structural relaxation.

**Uncorrected energy**: -4.71 eV/atom

Unit cell a=6.6847 b=6.6847 c=6.6847 alpha=90.00 beta=90.00 gamma=90.00
With the nearest neighbours (Å) after each atom.
Space group F-43m (No. 216)
Asymmetric unit:
Pr 0.0000 0.0000 0.0000 x4  4 Si 2.89
Si 0.2500 0.2500 0.7500 x4  4 Pr 2.89, 4 Ag 2.89
Ag 0.0000 0.0000 0.5000 x4  4 Si 2.89


No. 6
## ZnNiBPd (PBE)

Data for ZnNiBPd after structural relaxation.

**Offset from the most stable computed form**: 0.165 eV per atom

Unit cell a=5.6983 b=5.6983 c=5.6983 alpha=90.00 beta=90.00 gamma=90.00
With the nearest neighbours (Å) after each atom.
Space group F-43m (No. 216)
Asymmetric unit:
Zn 0.0000 0.0000 0.0000 x4  4 Ni 2.47, 4 B 2.47
Ni 0.2500 0.2500 0.2500 x4  4 Pd 2.47, 4 Zn 2.47
B 0.2500 0.2500 0.7500 x4  4 Pd 2.47, 4 Zn 2.47
Pd 0.0000 0.0000 0.5000 x4  4 B 2.47, 4 Ni 2.47